1.
A plane-wave DFT calculation with PBE-GGA was carried out for an optimized crystal structure of Ho3Te.

abc: 12.303 12.303 6.096
angles: 90.00 90.00 90.00
Fractional positions:
Ho: 0.036 0.575 0.237
Ho: 0.075 0.964 0.737
Ho: 0.108 0.221 0.040
Ho: 0.142 0.667 0.713
Ho: 0.167 0.858 0.213
Ho: 0.221 0.392 0.460
Ho: 0.279 0.108 0.460
Ho: 0.333 0.642 0.213
Ho: 0.358 0.833 0.713
Ho: 0.392 0.279 0.040
Ho: 0.425 0.536 0.737
Ho: 0.464 0.925 0.237
Ho: 0.536 0.075 0.763
Ho: 0.575 0.464 0.263
Ho: 0.608 0.721 0.960
Ho: 0.642 0.167 0.287
Ho: 0.667 0.358 0.787
Ho: 0.721 0.892 0.540
Ho: 0.779 0.608 0.540
Ho: 0.833 0.142 0.787
Ho: 0.858 0.333 0.287
Ho: 0.892 0.779 0.960
Ho: 0.925 0.036 0.263
Ho: 0.964 0.425 0.763
Te: 0.049 0.206 0.544
Te: 0.206 0.451 0.956
Te: 0.294 0.049 0.956
Te: 0.451 0.294 0.544
Te: 0.549 0.706 0.456
Te: 0.706 0.951 0.044
Te: 0.794 0.549 0.044
Te: 0.951 0.794 0.456

DFT total energy: -0.356 Ry per atom
uncorrected formation energy: -0.6213 eV/atom

=====

2.
A plane-wave DFT calculation with PBE-GGA was carried out for an optimized crystal structure of Ho2Te3.

abc: 14.396 13.731 7.532
angles: 79.41 69.64 30.95
Fractional positions:
Ho: 0.042 0.042 0.208
Ho: 0.126 0.126 0.624
Ho: 0.208 0.208 0.042
Ho: 0.376 0.376 0.874
Ho: 0.624 0.624 0.126
Ho: 0.792 0.792 0.958
Ho: 0.874 0.874 0.376
Ho: 0.958 0.958 0.792
Te: 0.044 0.541 0.206
Te: 0.126 0.624 0.624
Te: 0.206 0.710 0.044
Te: 0.290 0.794 0.459
Te: 0.376 0.874 0.874
Te: 0.459 0.956 0.290
Te: 0.541 0.044 0.710
Te: 0.624 0.126 0.126
Te: 0.710 0.206 0.541
Te: 0.794 0.290 0.956
Te: 0.874 0.376 0.376
Te: 0.956 0.459 0.794

DFT total energy: -0.376 Ry per atom
uncorrected formation energy: -1.4020 eV/atom